Entry 1:
The following is a DFT calculation (GGA-PBE) of a geometry-optimized Er3URu3 structure.

Cell: 5.711 5.711 5.711 Å, 107.84 107.84 107.84°
Sites, in units of the cell vectors:
Er1 0.000 0.500 0.500
Er2 0.500 0.000 0.500
Er3 0.500 0.500 0.000
U1 0.000 0.000 0.000
Ru1 0.000 0.000 0.501
Ru2 0.000 0.501 0.000
Ru3 0.501 0.000 0.000

Calculated values
- formation energy from the elements (eV/atom) = -0.284
- calculated density (Mg/m³) = 11.4
- SG = R3m (160)

Entry 2:
The following is a DFT calculation (GGA-PBE) of a geometry-optimized ErURu structure.

Cell: 5.924 5.924 5.924 Å, 145.94 145.94 48.93°
Sites, in units of the cell vectors:
Er1 0.000 0.000 0.000
U1 0.701 0.701 0.000
Ru1 0.306 0.306 0.000

Calculated values
- energy relative to the lowest polymorph listed for this composition (meV/atom) = 0.0
- formation energy from the elements (eV/atom) = -0.120
- calculated density (Mg/m³) = 13.0
- SG = I4mm (107)